## Sm5In2Ir2 (PBE)

Data for crystalline Sm5In2Ir2 at its relaxed geometry.

## Properties
The crystal system is orthorhombic. The energy of formation from the pure elements comes out at -0.54 eV/atom. Its total energy is -5.741 eV/atom.

a b c (Å): 16.442 7.548 7.983
angles (deg): 90.00 90.00 90.00
Space group Cmce (No. 64)
One atom of each set of equivalent atoms:
Sm 0.000 0.000 0.000 [4 per cell]
Sm 0.117 0.171 0.325 [16 per cell]
In 0.219 0.000 0.000 [8 per cell]
Ir 0.000 0.127 0.628 [8 per cell]